[1]
A plane-wave DFT calculation with GGA-PBE was carried out for GdDyMn after structural relaxation.

POSCAR file:
```
GdDyMn
1.0
-2.732 1.345 1.760
-1.437 -3.203 0.216
5.106 -0.059 4.456
Dy Mn Gd
1 1 1
Cartesian
1.832 -0.599 3.301
-1.056 -1.266 2.841
0.161 -0.053 0.290
```

The size of the total moment is 10.2 μB/cell. The formation energy comes out at 0.187 eV per atom. Its crystal system is tetragonal.


[2]
A plane-wave DFT calculation with GGA-PBE was carried out for CsAgTeIrSe after structural relaxation.

POSCAR file:
```
CsAgTeIrSe
1.0
4.707 0.000 0.000
0.000 3.898 0.000
0.000 0.000 7.941
Ir Ag Se Cs Te
1 1 1 1 1
Cartesian
0.000 0.000 4.120
2.354 1.949 4.063
0.000 1.949 5.734
2.354 0.000 7.677
0.000 1.949 2.381
```

The size of the total moment is 0.0 μB/cell. Its crystal system is orthorhombic. The value obtained for the uncorrected formation energy is -0.309 eV per atom. For the relative energy among the computed polymorphs, the calculation gives 0.2 meV/atom.


[3]
A plane-wave DFT calculation with GGA-PBE was carried out for La5ThIn3 after structural relaxation.

POSCAR file:
```
La5ThIn3
1.0
-2.175 -0.833 6.618
8.506 -4.220 2.265
-1.039 9.667 0.876
La Th In
10 2 6
Cartesian
7.267 2.040 4.505
3.365 3.019 7.065
1.183 -2.021 5.713
1.055 4.621 4.648
-1.975 2.574 5.253
3.149 -0.424 8.419
1.927 1.594 2.694
2.143 5.038 1.339
5.148 -3.032 3.170
4.237 -0.008 5.111
-1.088 -0.417 3.309
0.000 0.000 0.000
-2.325 5.832 5.548
2.280 -1.609 2.406
4.050 -3.444 6.476
7.617 -1.219 4.210
4.444 3.430 3.752
0.848 1.183 6.006
```

The size of the total moment is 2.9 μB/cell. The formation energy comes out at -0.317 eV per atom. Its crystal system is hexagonal.


[4]
A plane-wave DFT calculation with GGA-PBE was carried out for BaCaOs2O8 after structural relaxation.

POSCAR file:
```
BaCaOs2O8
1.0
5.978 0.000 0.000
-2.989 5.177 0.000
0.000 0.000 7.698
O Ba Os Ca
8 1 2 1
Cartesian
2.970 3.470 2.252
0.000 3.451 0.044
2.989 1.726 7.655
-1.521 4.307 5.446
0.019 1.706 5.446
1.502 4.340 5.446
4.510 0.870 2.252
1.487 0.837 2.252
0.000 0.000 0.000
0.000 3.451 5.938
2.989 1.726 1.760
0.000 0.000 3.849
```

The size of the total moment is 4.0 μB/cell. Its crystal system is trigonal. The value obtained for the uncorrected formation energy is -1.617 eV per atom.


[5]
A plane-wave DFT calculation with GGA-PBE was carried out for Cd3Ga2Hg2 after structural relaxation.

POSCAR file:
```
Cd3Ga2Hg2
1.0
-3.023 0.894 -3.866
-2.230 -2.036 1.273
-1.410 8.043 6.180
Ga Hg Cd
2 2 3
Cartesian
-3.482 6.446 4.213
-3.180 0.454 -0.626
-4.389 5.773 1.548
-2.274 1.127 2.038
-3.502 3.400 3.524
-3.161 3.500 0.062
0.000 0.000 0.000
```

The size of the total moment is 0.0 μB/cell. The formation energy comes out at 0.069 eV per atom. Its crystal system is orthorhombic. For the relative energy among the computed polymorphs, the calculation gives 23.5 meV/atom.


[6]
A plane-wave DFT calculation with GGA-PBE was carried out for Mg2BPRh6 after structural relaxation.

POSCAR file:
```
Mg2BPRh6
1.0
5.992 0.000 0.000
0.000 5.994 0.000
0.000 0.000 8.480
P Rh B Mg
2 12 2 4
Cartesian
2.996 1.500 0.000
0.000 4.494 4.240
0.000 4.497 6.434
1.446 5.942 0.000
1.445 3.050 0.000
2.996 1.497 2.194
1.551 2.944 4.240
4.546 3.050 0.000
0.000 4.497 2.046
4.546 5.942 0.000
1.550 0.052 4.240
4.442 0.052 4.240
2.996 1.497 6.286
4.441 2.944 4.240
0.000 4.496 0.000
2.996 1.497 4.240
0.000 1.498 2.121
2.996 4.496 6.361
0.000 1.498 6.359
2.996 4.496 2.119
```

The size of the total moment is 0.0 μB/cell. The formation energy comes out at -0.423 eV per atom. Its crystal system is cubic.


[7]
A plane-wave DFT calculation with GGA-PBE was carried out for KAcSb2 after structural relaxation.

POSCAR file:
```
KAcSb2
1.0
-2.853 -3.286 -0.914
2.720 -1.474 -3.194
3.554 -4.507 5.107
Ac Sb K
1 2 1
Cartesian
-0.067 -2.380 -2.054
2.863 -3.630 4.114
0.691 -0.876 0.993
1.711 -4.633 0.499
```

The size of the total moment is 0.0 μB/cell. Its crystal system is tetragonal. The value obtained for the uncorrected formation energy is -0.698 eV per atom. For the relative energy among the computed polymorphs, the calculation gives 0.0 meV/atom.